Material: BaRh2Pb
Method: DFT, PBE
State: relaxed

The structure in CIF format:
```
data_BaRh2Pb
_symmetry_space_group_name_H-M 'P 4/m m m'
_symmetry_Int_Tables_number 123
_symmetry_space_group_name_Hall '-P 4 2'
_cell_length_a 3.483
_cell_length_b 3.483
_cell_length_c 7.478
_cell_angle_alpha 90.00
_cell_angle_beta 90.00
_cell_angle_gamma 90.00
loop_
_atom_site_label
_atom_site_type_symbol
_atom_site_fract_x
_atom_site_fract_y
_atom_site_fract_z
_atom_site_occupancy
Ba1 Ba 0.000 0.000 0.000 1
Rh1 Rh 0.500 0.500 0.305 1
Pb1 Pb 0.000 0.000 0.500 1
```

Computed properties:
- calculated volume (Å³ per cell) = 90.70
- DFT formation energy (meV/atom) = 41.3